The following is a GGA-PBE calculation of a relaxed structure of Ac2VBi, from Alexandria.

extended XYZ file:
```
4
Lattice="5.5177 0.0000 0.0000 0.0000 5.5177 0.0000 0.0000 0.0000 4.3986" Properties=species:S:1:pos:R:3 pbc="T T T"
Ac 0.0000 2.7588 0.0000
Ac 2.7588 0.0000 0.0000
V 0.0000 0.0000 2.1993
Bi 2.7588 2.7588 2.1993
```

Properties
The calculation puts the energy above the most stable polymorph in this dataset at 0.0 meV per atom. For the total magnetization, the calculation gives 3.70 μB/f.u. Its calculated density is 8.85 g/cm³. Its formation energy is -0.020 eV/atom.